(1)
# PBE ZnIrW2, optimized geometry
data_ZnIrW2
_cell_length_a 4.131
_cell_length_b 3.834
_cell_length_c 3.834
_cell_angle_alpha 90.00
_cell_angle_beta 90.00
_cell_angle_gamma 90.00
_symmetry_space_group_name_H-M 'P 1'
_symmetry_Int_Tables_number 1
loop_
_symmetry_equiv_pos_as_xyz
'x,y,z'
loop_
_atom_site_label
_atom_site_fract_x
_atom_site_fract_y
_atom_site_fract_z
W1 0.000 0.500 0.500
W2 0.000 0.000 0.000
Zn1 0.500 0.500 0.000
Ir1 0.500 0.000 0.500
# formation enthalpy at 0 K = 147.9 meV per atom
# SG = P4/mmm

---

(2)
# PBE Li3TeF, optimized geometry
data_Li3TeF
_cell_length_a 5.981
_cell_length_b 5.027
_cell_length_c 5.981
_cell_angle_alpha 89.93
_cell_angle_beta 120.00
_cell_angle_gamma 89.93
_symmetry_space_group_name_H-M 'P 1'
_symmetry_Int_Tables_number 1
loop_
_symmetry_equiv_pos_as_xyz
'x,y,z'
loop_
_atom_site_label
_atom_site_fract_x
_atom_site_fract_y
_atom_site_fract_z
Li1 0.838 0.901 0.897
Li2 0.148 0.400 0.052
Li3 0.683 0.402 0.587
Te1 0.326 0.901 0.409
F1 0.993 0.651 0.742
Li4 0.303 0.899 0.897
Li5 0.838 0.902 0.432
Te2 0.659 0.401 0.075
Li6 0.147 0.401 0.587
F2 0.993 0.151 0.742
# ΔE to the lowest computed polymorph = 1.8 kJ/mol of atoms
# SG = C2/c
# raw formation energy = -1.735 eV/atom

---

(3)
# PBE Y2ZnNi12B3, optimized geometry
data_Y2ZnNi12B3
_cell_length_a 6.801
_cell_length_b 6.801
_cell_length_c 6.801
_cell_angle_alpha 62.52
_cell_angle_beta 62.52
_cell_angle_gamma 62.52
_symmetry_space_group_name_H-M 'P 1'
_symmetry_Int_Tables_number 1
loop_
_symmetry_equiv_pos_as_xyz
'x,y,z'
loop_
_atom_site_label
_atom_site_fract_x
_atom_site_fract_y
_atom_site_fract_z
Ni1 0.878 0.273 0.273
Ni2 0.859 0.430 0.859
Ni3 0.141 0.570 0.141
Ni4 0.141 0.141 0.570
Y1 0.595 0.595 0.595
Ni5 0.273 0.273 0.878
Ni6 0.273 0.878 0.273
B1 0.500 0.000 0.000
Ni7 0.430 0.859 0.859
Y2 0.405 0.405 0.405
Ni8 0.727 0.727 0.122
B2 0.000 0.000 0.500
Zn1 0.000 0.000 0.000
Ni9 0.859 0.859 0.430
Ni10 0.122 0.727 0.727
Ni11 0.727 0.122 0.727
B3 0.000 0.500 0.000
Ni12 0.570 0.141 0.141
# formation enthalpy at 0 K = -56.8 meV per atom
# SG = R-3m

---

(4)
# PBE Tc2TeIr, optimized geometry
data_Tc2TeIr
_cell_length_a 4.117
_cell_length_b 2.911
_cell_length_c 5.763
_cell_angle_alpha 72.96
_cell_angle_beta 90.00
_cell_angle_gamma 90.00
_symmetry_space_group_name_H-M 'P 1'
_symmetry_Int_Tables_number 1
loop_
_symmetry_equiv_pos_as_xyz
'x,y,z'
loop_
_atom_site_label
_atom_site_fract_x
_atom_site_fract_y
_atom_site_fract_z
Te1 0.500 0.250 0.250
Ir1 0.500 0.750 0.750
Tc1 0.000 0.374 0.523
Tc2 0.000 0.126 0.977
# SG = P2/m
# raw formation energy = 0.377 eV/atom

---

(5)
# PBE Pa2ZnSi, optimized geometry
data_Pa2ZnSi
_cell_length_a 3.638
_cell_length_b 3.638
_cell_length_c 6.418
_cell_angle_alpha 90.00
_cell_angle_beta 90.00
_cell_angle_gamma 90.00
_symmetry_space_group_name_H-M 'P 1'
_symmetry_Int_Tables_number 1
loop_
_symmetry_equiv_pos_as_xyz
'x,y,z'
loop_
_atom_site_label
_atom_site_fract_x
_atom_site_fract_y
_atom_site_fract_z
Pa1 0.000 0.000 0.766
Zn1 0.500 0.500 0.500
Pa2 0.000 0.000 0.234
Si1 0.500 0.500 0.000
# ΔE to the lowest computed polymorph = 6.1 kJ/mol of atoms
# SG = P4/mmm
# raw formation energy = -0.139 eV/atom

---

(6)
# PBE Li2Mg, optimized geometry
data_Li2Mg
_cell_length_a 4.952
_cell_length_b 4.952
_cell_length_c 5.750
_cell_angle_alpha 90.00
_cell_angle_beta 90.00
_cell_angle_gamma 120.00
_symmetry_space_group_name_H-M 'P 1'
_symmetry_Int_Tables_number 1
loop_
_symmetry_equiv_pos_as_xyz
'x,y,z'
loop_
_atom_site_label
_atom_site_fract_x
_atom_site_fract_y
_atom_site_fract_z
Li1 0.333 0.667 0.250
Mg1 0.333 0.667 0.750
Mg2 0.667 0.333 0.250
Li2 0.000 0.000 0.000
Li3 0.667 0.333 0.750
Li4 0.000 0.000 0.500
# formation enthalpy at 0 K = -2.7 meV per atom
# SG = P6_3/mmc

---

(7)
# PBE Tc2SbTe, optimized geometry
data_Tc2SbTe
_cell_length_a 5.181
_cell_length_b 5.181
_cell_length_c 5.181
_cell_angle_alpha 132.40
_cell_angle_beta 132.40
_cell_angle_gamma 69.60
_symmetry_space_group_name_H-M 'P 1'
_symmetry_Int_Tables_number 1
loop_
_symmetry_equiv_pos_as_xyz
'x,y,z'
loop_
_atom_site_label
_atom_site_fract_x
_atom_site_fract_y
_atom_site_fract_z
Tc1 0.000 0.000 0.000
Tc2 0.250 0.750 0.500
Sb1 0.750 0.250 0.500
Te1 0.500 0.500 0.000
# ΔE to the lowest computed polymorph = 51.1 kJ/mol of atoms
# SG = I-4m2
# raw formation energy = 0.640 eV/atom

---

(8)
# PBE PuMgMn, optimized geometry
data_PuMgMn
_cell_length_a 4.802
_cell_length_b 6.017
_cell_length_c 8.361
_cell_angle_alpha 80.12
_cell_angle_beta 90.00
_cell_angle_gamma 90.00
_symmetry_space_group_name_H-M 'P 1'
_symmetry_Int_Tables_number 1
loop_
_symmetry_equiv_pos_as_xyz
'x,y,z'
loop_
_atom_site_label
_atom_site_fract_x
_atom_site_fract_y
_atom_site_fract_z
Pu1 0.750 0.460 0.671
Pu2 0.250 0.540 0.329
Mn1 0.250 0.222 0.615
Mn2 0.750 0.278 0.385
Pu3 0.750 0.960 0.671
Mg1 0.250 0.392 0.926
Pu4 0.250 0.040 0.329
Mn3 0.750 0.778 0.385
Mg2 0.750 0.108 0.074
Mg3 0.750 0.608 0.074
Mn4 0.250 0.722 0.615
Mg4 0.250 0.892 0.926
# formation enthalpy at 0 K = 71.3 meV per atom
# SG = P2_1/m

---

(9)
# PBE AcTbZn2Au5, optimized geometry
data_AcTbZn2Au5
_cell_length_a 4.660
_cell_length_b 4.660
_cell_length_c 9.116
_cell_angle_alpha 90.00
_cell_angle_beta 90.00
_cell_angle_gamma 90.00
_symmetry_space_group_name_H-M 'P 1'
_symmetry_Int_Tables_number 1
loop_
_symmetry_equiv_pos_as_xyz
'x,y,z'
loop_
_atom_site_label
_atom_site_fract_x
_atom_site_fract_y
_atom_site_fract_z
Zn1 0.500 0.500 0.132
Au1 0.500 0.500 0.500
Au2 0.000 0.500 0.250
Au3 0.500 0.000 0.250
Ac1 0.000 0.000 0.500
Tb1 0.000 0.000 0.000
Au4 0.000 0.500 0.750
Zn2 0.500 0.500 0.868
Au5 0.500 0.000 0.750
# formation enthalpy at 0 K = -499.7 meV per atom
# SG = P4/mmm

---

(10)
# PBE CeNb2Cr, optimized geometry
data_CeNb2Cr
_cell_length_a 3.001
_cell_length_b 3.001
_cell_length_c 9.759
_cell_angle_alpha 81.16
_cell_angle_beta 81.16
_cell_angle_gamma 60.00
_symmetry_space_group_name_H-M 'P 1'
_symmetry_Int_Tables_number 1
loop_
_symmetry_equiv_pos_as_xyz
'x,y,z'
loop_
_atom_site_label
_atom_site_fract_x
_atom_site_fract_y
_atom_site_fract_z
Nb1 0.099 0.099 0.702
Nb2 0.901 0.901 0.298
Cr1 0.500 0.500 0.500
Ce1 0.000 0.000 0.000
# formation enthalpy at 0 K = 433.8 meV per atom
# SG = R-3m

---

(11)
# PBE Tb4Sm2Hg, optimized geometry
data_Tb4Sm2Hg
_cell_length_a 3.619
_cell_length_b 8.163
_cell_length_c 8.872
_cell_angle_alpha 119.33
_cell_angle_beta 101.77
_cell_angle_gamma 90.00
_symmetry_space_group_name_H-M 'P 1'
_symmetry_Int_Tables_number 1
loop_
_symmetry_equiv_pos_as_xyz
'x,y,z'
loop_
_atom_site_label
_atom_site_fract_x
_atom_site_fract_y
_atom_site_fract_z
Sm1 0.212 0.296 0.424
Sm2 0.788 0.704 0.576
Tb1 0.558 0.376 0.115
Tb2 0.855 0.182 0.710
Tb3 0.442 0.624 0.885
Tb4 0.145 0.818 0.290
Hg1 0.000 0.000 0.000
# formation enthalpy at 0 K = -49.2 meV per atom
# SG = C2/m

---

(12)
# PBE Na2DyPaSe4, optimized geometry
data_Na2DyPaSe4
_cell_length_a 4.086
_cell_length_b 7.176
_cell_length_c 7.485
_cell_angle_alpha 108.23
_cell_angle_beta 90.00
_cell_angle_gamma 90.00
_symmetry_space_group_name_H-M 'P 1'
_symmetry_Int_Tables_number 1
loop_
_symmetry_equiv_pos_as_xyz
'x,y,z'
loop_
_atom_site_label
_atom_site_fract_x
_atom_site_fract_y
_atom_site_fract_z
Pa1 0.500 0.500 0.000
Na1 0.000 0.500 0.500
Dy1 0.000 0.000 0.000
Se1 0.500 0.244 0.232
Na2 0.500 0.000 0.500
Se2 0.000 0.252 0.764
Se3 0.500 0.756 0.768
Se4 0.000 0.748 0.236
# SG = P2/m
# raw formation energy = -1.464 eV/atom

---

no.,size of the total moment (μB per cell),Fermi-level density of states (states/eV/cell)
1,0.00,4.13
2,0.00,0.00
3,0.00,9.66
4,0.00,4.27
5,0.00,6.40
6,0.00,3.51
7,0.00,4.43
8,12.10,21.00
9,0.00,3.06
10,0.00,6.11
11,0.00,9.68
12,1.94,6.64